Record 1
# Ca3HoSn12 (PBE, relaxed)
data_Ca3HoSn12
_chemical_formula_sum 'Ca3 Ho1 Sn12'
_cell_length_a 4.7315
_cell_length_b 4.7315
_cell_length_c 19.0878
_cell_angle_alpha 90.00
_cell_angle_beta 90.00
_cell_angle_gamma 90.00
_space_group_name_H-M_alt 'P 4/m m m'
_space_group_IT_number 123
_space_group_name_Hall '-P 4 2'
loop_
_atom_site_label
_atom_site_type_symbol
_atom_site_fract_x
_atom_site_fract_y
_atom_site_fract_z
Ca1 Ca 0.0000 0.0000 0.0000
Ca2 Ca 0.0000 0.0000 0.2518
Ho1 Ho 0.0000 0.0000 0.5000
Sn1 Sn 0.0000 0.5000 0.1252
Sn2 Sn 0.0000 0.5000 0.3769
Sn3 Sn 0.5000 0.5000 0.0000
Sn4 Sn 0.5000 0.5000 0.2508
Sn5 Sn 0.5000 0.5000 0.5000
# Fermi-level density of states	9.17	states/eV per cell
# formation energy from the elements	-389.3	meV per atom

Record 2
# Ac2PrCu2S6 (PBE, relaxed)
data_Ac2PrCu2S6
_chemical_formula_sum 'Ac6 Pr3 Cu6 S18'
_cell_length_a 7.0888
_cell_length_b 7.0888
_cell_length_c 21.2477
_cell_angle_alpha 90.00
_cell_angle_beta 90.00
_cell_angle_gamma 120.00
_space_group_name_H-M_alt 'R -3 m'
_space_group_IT_number 166
_space_group_name_Hall '-R 3 2"'
loop_
_atom_site_label
_atom_site_type_symbol
_atom_site_fract_x
_atom_site_fract_y
_atom_site_fract_z
Ac1 Ac 0.0000 0.0000 0.2007
Pr1 Pr 0.0000 0.0000 0.0000
Cu1 Cu 0.0000 0.0000 0.4333
S1 S 0.0201 0.5101 0.7635
# raw formation energy	-13.373	eV per formula unit
# Fermi-level density of states	22.74	states/eV per cell

Record 3
# Cs3U3TiSe8 (PBE, relaxed)
data_Cs3U3TiSe8
_chemical_formula_sum 'Cs6 U6 Ti2 Se16'
_cell_length_a 14.2354
_cell_length_b 8.2708
_cell_length_c 9.8126
_cell_angle_alpha 90.00
_cell_angle_beta 118.60
_cell_angle_gamma 90.00
_space_group_name_H-M_alt 'C 1 2/m 1'
_space_group_IT_number 12
loop_
_space_group_symop_operation_xyz
'x,y,z'
'-x,-y,-z'
'-x,y,-z'
'x,-y,z'
'x+1/2,y+1/2,z'
'-x+1/2,-y+1/2,-z'
'-x+1/2,y+1/2,-z'
'x+1/2,-y+1/2,z'
loop_
_atom_site_label
_atom_site_type_symbol
_atom_site_fract_x
_atom_site_fract_y
_atom_site_fract_z
Cs1 Cs 0.0000 0.0000 0.0000
Cs2 Cs 0.2500 0.2500 0.0000
U1 U 0.0000 0.5000 0.5000
U2 U 0.2500 0.2500 0.5000
Ti1 Ti 0.0000 0.0000 0.5000
Se1 Se 0.0198 0.2365 0.3223
Se2 Se 0.2183 0.0000 0.6777
Se3 Se 0.2313 0.5000 0.6914
# raw formation energy	-17.864	eV per formula unit
# Fermi-level density of states	44.25	states/eV per cell

Record 4
# Rb2PBrF6 (PBE, relaxed)
data_Rb2PBrF6
_chemical_formula_sum 'Rb8 P4 Br4 F24'
_cell_length_a 9.5636
_cell_length_b 9.5636
_cell_length_c 9.5636
_cell_angle_alpha 90.00
_cell_angle_beta 90.00
_cell_angle_gamma 90.00
_space_group_name_H-M_alt 'F m -3 m'
_space_group_IT_number 225
_space_group_name_Hall '-F 4 2 3'
loop_
_atom_site_label
_atom_site_type_symbol
_atom_site_fract_x
_atom_site_fract_y
_atom_site_fract_z
Rb1 Rb 0.2500 0.2500 0.2500
P1 P 0.0000 0.0000 0.0000
Br1 Br 0.0000 0.0000 0.5000
F1 F 0.0000 0.0000 0.1714
# energy relative to the lowest polymorph listed for this composition	93	meV/atom
# raw formation energy	-24.657	eV per formula unit
# Fermi-level density of states	0.00	states/eV per cell

Record 5
# Co2Cu2Rh (PBE, relaxed)
data_Co2Cu2Rh
_chemical_formula_sum 'Co4 Cu4 Rh2'
_cell_length_a 6.7746
_cell_length_b 6.7746
_cell_length_c 2.6922
_cell_angle_alpha 90.00
_cell_angle_beta 90.00
_cell_angle_gamma 90.00
_space_group_name_H-M_alt 'P 4/m b m'
_space_group_IT_number 127
_space_group_name_Hall '-P 4 2ab'
loop_
_atom_site_label
_atom_site_type_symbol
_atom_site_fract_x
_atom_site_fract_y
_atom_site_fract_z
Co1 Co 0.1705 0.3295 0.0000
Cu1 Cu 0.1275 0.6275 0.5000
Rh1 Rh 0.0000 0.0000 0.5000
# energy relative to the lowest polymorph listed for this composition	0	meV/atom
# Fermi-level density of states	16.66	states/eV per cell
# formation energy from the elements	313.9	meV per atom

Record 6
# Dy2Be2GaRh5 (PBE, relaxed)
data_Dy2Be2GaRh5
_chemical_formula_sum 'Dy4 Be4 Ga2 Rh10'
_cell_length_a 9.6341
_cell_length_b 9.6341
_cell_length_c 3.2138
_cell_angle_alpha 90.00
_cell_angle_beta 90.00
_cell_angle_gamma 90.00
_space_group_name_H-M_alt 'P 4/m b m'
_space_group_IT_number 127
_space_group_name_Hall '-P 4 2ab'
loop_
_atom_site_label
_atom_site_type_symbol
_atom_site_fract_x
_atom_site_fract_y
_atom_site_fract_z
Dy1 Dy 0.1764 0.3236 0.0000
Be1 Be 0.1220 0.6220 0.0000
Ga1 Ga 0.0000 0.0000 0.0000
Rh1 Rh 0.0000 0.5000 0.5000
Rh2 Rh 0.0667 0.7892 0.5000
# Fermi-level density of states	10.37	states/eV per cell
# formation energy from the elements	-815.3	meV per atom